1.
{"formula": "CaTl2CrCl6", "functional": "GGA-PBE", "state": "relaxed", "raw_formation_energy_ev_per_atom": -1.3685, "lattice": [[7.335, 0.000, 0.000], [0.000, 10.371, 0.000], [0.000, 0.000, 7.340]], "species": ["Ca", "Ca", "Tl", "Tl", "Tl", "Tl", "Cr", "Cr", "Cl", "Cl", "Cl", "Cl", "Cl", "Cl", "Cl", "Cl", "Cl", "Cl", "Cl", "Cl"], "fractional_positions": [[0.250, 0.250, 0.250], [0.750, 0.750, 0.750], [0.250, 0.001, 0.750], [0.250, 0.499, 0.750], [0.750, 0.501, 0.250], [0.750, 0.999, 0.250], [0.250, 0.750, 0.250], [0.750, 0.250, 0.750], [0.010, 0.750, 0.010], [0.010, 0.750, 0.489], [0.250, 0.510, 0.250], [0.250, 0.990, 0.250], [0.490, 0.750, 0.010], [0.490, 0.750, 0.489], [0.510, 0.250, 0.511], [0.510, 0.250, 0.990], [0.750, 0.010, 0.750], [0.750, 0.490, 0.750], [0.990, 0.250, 0.511], [0.990, 0.250, 0.990]]}



2.
{"formula": "CaTlCrCl6", "functional": "GGA-PBE", "state": "relaxed", "raw_formation_energy_ev_per_atom": -1.5255, "lattice": [[6.770, 0.000, 0.000], [-3.385, 5.863, 0.000], [0.000, 0.000, 13.712]], "species": ["Ca", "Ca", "Tl", "Tl", "Cr", "Cr", "Cl", "Cl", "Cl", "Cl", "Cl", "Cl", "Cl", "Cl", "Cl", "Cl", "Cl", "Cl"], "fractional_positions": [[0.333, 0.667, 0.250], [0.667, 0.333, 0.750], [0.000, 0.000, 0.000], [0.000, 0.000, 0.500], [0.333, 0.667, 0.750], [0.667, 0.333, 0.250], [0.042, 0.391, 0.648], [0.042, 0.651, 0.852], [0.349, 0.391, 0.852], [0.349, 0.958, 0.648], [0.391, 0.042, 0.148], [0.391, 0.349, 0.352], [0.609, 0.651, 0.648], [0.609, 0.958, 0.852], [0.651, 0.042, 0.352], [0.651, 0.609, 0.148], [0.958, 0.349, 0.148], [0.958, 0.609, 0.352]]}



3.
{"formula": "Ca2TlCrCl8", "functional": "GGA-PBE", "state": "relaxed", "raw_formation_energy_ev_per_atom": -1.6573, "lattice": [[6.169, 0.000, 0.000], [0.119, 6.346, 0.000], [0.006, 0.003, 8.606]], "species": ["Ca", "Ca", "Tl", "Cr", "Cl", "Cl", "Cl", "Cl", "Cl", "Cl", "Cl", "Cl"], "fractional_positions": [[0.000, 0.000, 0.245], [0.000, 0.000, 0.755], [0.500, 0.500, 0.500], [0.500, 0.500, 0.000], [0.230, 0.113, 0.500], [0.259, 0.196, 0.000], [0.280, 0.659, 0.193], [0.280, 0.659, 0.807], [0.720, 0.341, 0.193], [0.720, 0.341, 0.807], [0.741, 0.804, 0.000], [0.770, 0.887, 0.500]]}



4.
{"formula": "CaCrW2Cl", "functional": "GGA-PBE", "state": "relaxed", "raw_formation_energy_ev_per_atom": 1.2677, "lattice": [[4.537, 0.000, 0.000], [0.000, 4.537, 0.000], [0.000, 0.000, 4.306]], "species": ["Ca", "Cr", "W", "W", "Cl"], "fractional_positions": [[0.000, 0.000, 0.000], [0.500, 0.500, 0.000], [0.000, 0.500, 0.500], [0.500, 0.000, 0.500], [0.500, 0.500, 0.500]]}



5.
{"formula": "Cs3CaCl6", "functional": "GGA-PBE", "state": "relaxed", "raw_formation_energy_ev_per_atom": -1.7844, "lattice": [[0.000, 5.995, 5.995], [5.995, 0.000, 5.995], [5.995, 5.995, 0.000]], "species": ["Cs", "Cs", "Cs", "Ca", "Cl", "Cl", "Cl", "Cl", "Cl", "Cl"], "fractional_positions": [[0.000, 0.000, 0.000], [0.250, 0.250, 0.250], [0.750, 0.750, 0.750], [0.500, 0.500, 0.500], [0.274, 0.274, 0.726], [0.274, 0.726, 0.274], [0.274, 0.726, 0.726], [0.726, 0.274, 0.274], [0.726, 0.274, 0.726], [0.726, 0.726, 0.274]]}



6.
{"formula": "CsCaCl2", "functional": "GGA-PBE", "state": "relaxed", "polymorph_energy_kj_per_mol_atoms": 1.4, "raw_formation_energy_ev_per_atom": -1.6723, "lattice": [[4.891, 0.000, 0.000], [-2.445, 4.235, 0.000], [0.000, 0.000, 27.562]], "species": ["Cs", "Cs", "Cs", "Ca", "Ca", "Ca", "Cl", "Cl", "Cl", "Cl", "Cl", "Cl"], "fractional_positions": [[0.000, 0.000, 0.000], [0.333, 0.667, 0.667], [0.667, 0.333, 0.333], [0.000, 0.000, 0.500], [0.333, 0.667, 0.167], [0.667, 0.333, 0.833], [0.000, 0.000, 0.406], [0.000, 0.000, 0.594], [0.333, 0.667, 0.072], [0.333, 0.667, 0.261], [0.667, 0.333, 0.739], [0.667, 0.333, 0.928]]}



7.
{"formula": "CsCaCl3", "functional": "GGA-PBE", "state": "relaxed", "raw_formation_energy_ev_per_atom": -2.2485, "lattice": [[9.407, 0.000, 0.000], [0.000, 7.135, 0.000], [-1.406, 0.000, 10.075]], "species": ["Cs", "Cs", "Cs", "Cs", "Ca", "Ca", "Ca", "Ca", "Cl", "Cl", "Cl", "Cl", "Cl", "Cl", "Cl", "Cl", "Cl", "Cl", "Cl", "Cl"], "fractional_positions": [[0.113, 0.204, 0.177], [0.113, 0.296, 0.677], [0.887, 0.704, 0.323], [0.887, 0.796, 0.823], [0.416, 0.743, 0.573], [0.416, 0.757, 0.073], [0.584, 0.243, 0.927], [0.584, 0.257, 0.427], [0.140, 0.685, 0.098], [0.140, 0.815, 0.598], [0.322, 0.079, 0.941], [0.322, 0.421, 0.441], [0.438, 0.570, 0.830], [0.438, 0.930, 0.330], [0.562, 0.070, 0.670], [0.562, 0.430, 0.170], [0.678, 0.579, 0.559], [0.678, 0.921, 0.059], [0.860, 0.185, 0.402], [0.860, 0.315, 0.902]]}



8.
{"formula": "CsCaCl3", "functional": "GGA-PBE", "state": "relaxed", "raw_formation_energy_ev_per_atom": -2.2114, "lattice": [[0.000, 7.172, 7.172], [7.172, 0.000, 7.172], [7.172, 7.172, 0.000]], "species": ["Cs", "Cs", "Cs", "Cs", "Ca", "Ca", "Ca", "Ca", "Cl", "Cl", "Cl", "Cl", "Cl", "Cl", "Cl", "Cl", "Cl", "Cl", "Cl", "Cl"], "fractional_positions": [[0.000, 0.000, 0.000], [0.000, 0.000, 0.500], [0.000, 0.500, 0.000], [0.500, 0.000, 0.000], [0.000, 0.500, 0.500], [0.500, 0.000, 0.500], [0.500, 0.500, 0.000], [0.500, 0.500, 0.500], [0.173, 0.173, 0.577], [0.173, 0.577, 0.173], [0.173, 0.577, 0.577], [0.423, 0.423, 0.827], [0.423, 0.827, 0.423], [0.423, 0.827, 0.827], [0.577, 0.173, 0.173], [0.577, 0.173, 0.577], [0.577, 0.577, 0.173], [0.827, 0.423, 0.423], [0.827, 0.423, 0.827], [0.827, 0.827, 0.423]]}



9.
{"formula": "CsCaCl3", "functional": "GGA-PBE", "state": "relaxed", "raw_formation_energy_ev_per_atom": -1.5066, "lattice": [[-2.817, 2.817, 12.942], [2.817, -2.817, 12.942], [2.817, 2.817, -12.942]], "species": ["Cs", "Cs", "Ca", "Ca", "Cl", "Cl", "Cl", "Cl", "Cl", "Cl"], "fractional_positions": [[0.000, 0.000, 0.000], [0.750, 0.250, 0.500], [0.140, 0.640, 0.500], [0.360, 0.860, 0.500], [0.318, 0.318, 0.000], [0.366, 0.117, 0.249], [0.682, 0.682, 0.000], [0.868, 0.117, 0.751], [0.883, 0.132, 0.249], [0.883, 0.634, 0.751]]}



10.
{"formula": "Cs4CaCl5", "functional": "GGA-PBE", "state": "relaxed", "raw_formation_energy_ev_per_atom": -1.8593, "lattice": [[-5.726, 5.726, 3.426], [5.726, -5.726, 3.426], [5.726, 5.726, -3.426]], "species": ["Cs", "Cs", "Cs", "Cs", "Ca", "Cl", "Cl", "Cl", "Cl", "Cl"], "fractional_positions": [[0.114, 0.701, 0.815], [0.299, 0.114, 0.413], [0.701, 0.886, 0.587], [0.886, 0.299, 0.185], [0.449, 0.449, 0.000], [0.054, 0.054, 0.000], [0.277, 0.423, 0.697], [0.423, 0.726, 0.146], [0.580, 0.277, 0.854], [0.726, 0.580, 0.303]]}



11.
{"formula": "CsCaCl2", "functional": "GGA-PBE", "state": "relaxed", "polymorph_energy_kj_per_mol_atoms": 34.5, "raw_formation_energy_ev_per_atom": -1.3290, "lattice": [[7.876, 0.000, 0.000], [0.000, 7.876, 0.000], [0.000, 0.000, 7.876]], "species": ["Cs", "Cs", "Cs", "Cs", "Ca", "Ca", "Ca", "Ca", "Cl", "Cl", "Cl", "Cl", "Cl", "Cl", "Cl", "Cl"], "fractional_positions": [[0.000, 0.000, 0.000], [0.000, 0.500, 0.500], [0.500, 0.000, 0.500], [0.500, 0.500, 0.000], [0.000, 0.000, 0.500], [0.000, 0.500, 0.000], [0.500, 0.000, 0.000], [0.500, 0.500, 0.500], [0.250, 0.250, 0.250], [0.250, 0.250, 0.750], [0.250, 0.750, 0.250], [0.250, 0.750, 0.750], [0.750, 0.250, 0.250], [0.750, 0.250, 0.750], [0.750, 0.750, 0.250], [0.750, 0.750, 0.750]]}



12.
{"formula": "CsCaCl3", "functional": "GGA-PBE", "state": "relaxed", "raw_formation_energy_ev_per_atom": -2.2659, "lattice": [[5.431, 0.000, 0.000], [-0.003, 7.605, 0.000], [-0.004, -3.718, 7.994]], "species": ["Cs", "Cs", "Ca", "Ca", "Cl", "Cl", "Cl", "Cl", "Cl", "Cl"], "fractional_positions": [[0.001, 0.355, 0.218], [0.999, 0.645, 0.782], [0.499, 0.127, 0.748], [0.501, 0.873, 0.252], [0.000, 0.141, 0.773], [0.000, 0.859, 0.227], [0.499, 0.752, 0.504], [0.500, 0.000, 0.000], [0.500, 0.500, 0.000], [0.501, 0.248, 0.496]]}



13.
{"formula": "CsCaCl2", "functional": "GGA-PBE", "state": "relaxed", "polymorph_energy_kj_per_mol_atoms": 0.0, "raw_formation_energy_ev_per_atom": -1.6865, "lattice": [[4.465, 0.000, 0.000], [-2.233, 3.867, 0.000], [0.000, 0.000, 29.258]], "species": ["Cs", "Cs", "Cs", "Ca", "Ca", "Ca", "Cl", "Cl", "Cl", "Cl", "Cl", "Cl"], "fractional_positions": [[0.000, 0.000, 0.000], [0.333, 0.667, 0.667], [0.667, 0.333, 0.333], [0.000, 0.000, 0.500], [0.333, 0.667, 0.167], [0.667, 0.333, 0.833], [0.000, 0.000, 0.123], [0.000, 0.000, 0.877], [0.333, 0.667, 0.543], [0.333, 0.667, 0.790], [0.667, 0.333, 0.210], [0.667, 0.333, 0.457]]}



14.
{"formula": "CsCaCl3", "functional": "GGA-PBE", "state": "relaxed", "raw_formation_energy_ev_per_atom": -1.0494, "lattice": [[6.129, 0.000, 0.000], [0.000, 6.129, 0.000], [0.000, 0.000, 6.129]], "species": ["Cs", "Ca", "Cl", "Cl", "Cl"], "fractional_positions": [[0.000, 0.000, 0.000], [0.500, 0.500, 0.500], [0.000, 0.000, 0.500], [0.000, 0.500, 0.000], [0.500, 0.000, 0.000]]}



15.
{"formula": "CsCaCl3", "functional": "GGA-PBE", "state": "relaxed", "raw_formation_energy_ev_per_atom": -2.2008, "lattice": [[5.569, -8.059, 0.000], [5.569, 8.059, 0.000], [0.000, 0.000, 7.276]], "species": ["Cs", "Cs", "Cs", "Cs", "Ca", "Ca", "Ca", "Ca", "Cl", "Cl", "Cl", "Cl", "Cl", "Cl", "Cl", "Cl", "Cl", "Cl", "Cl", "Cl"], "fractional_positions": [[0.089, 0.411, 0.250], [0.411, 0.089, 0.750], [0.589, 0.911, 0.250], [0.911, 0.589, 0.750], [0.117, 0.883, 0.321], [0.383, 0.617, 0.821], [0.617, 0.383, 0.179], [0.883, 0.117, 0.679], [0.050, 0.950, 0.699], [0.133, 0.367, 0.750], [0.237, 0.763, 0.026], [0.263, 0.737, 0.526], [0.367, 0.133, 0.250], [0.450, 0.550, 0.199], [0.550, 0.450, 0.801], [0.633, 0.867, 0.750], [0.737, 0.263, 0.474], [0.763, 0.237, 0.974], [0.867, 0.633, 0.250], [0.950, 0.050, 0.301]]}



16.
{"formula": "Cs12Ca3Cl5", "functional": "GGA-PBE", "state": "relaxed", "raw_formation_energy_ev_per_atom": -0.7555, "lattice": [[-11.483, 11.483, 11.483], [11.483, -11.483, 11.483], [11.483, 11.483, -11.483]], "species": ["Cs", "Cs", "Cs", "Cs", "Cs", "Cs", "Cs", "Cs", "Cs", "Cs", "Cs", "Cs", "Cs", "Cs", "Cs", "Cs", "Cs", "Cs", "Cs", "Cs", "Cs", "Cs", "Cs", "Cs", "Cs", "Cs", "Cs", "Cs", "Cs", "Cs", "Cs", "Cs", "Cs", "Cs", "Cs", "Cs", "Cs", "Cs", "Cs", "Cs", "Cs", "Cs", "Cs", "Cs", "Cs", "Cs", "Cs", "Cs", "Ca", "Ca", "Ca", "Ca", "Ca", "Ca", "Ca", "Ca", "Ca", "Ca", "Ca", "Ca", "Cl", "Cl", "Cl", "Cl", "Cl", "Cl", "Cl", "Cl", "Cl", "Cl", "Cl", "Cl", "Cl", "Cl", "Cl", "Cl", "Cl", "Cl", "Cl", "Cl"], "fractional_positions": [[0.011, 0.193, 0.108], [0.011, 0.319, 0.903], [0.085, 0.693, 0.681], [0.085, 0.892, 0.403], [0.097, 0.608, 0.415], [0.097, 0.989, 0.681], [0.108, 0.011, 0.193], [0.108, 0.597, 0.915], [0.181, 0.193, 0.585], [0.181, 0.489, 0.597], [0.193, 0.108, 0.011], [0.193, 0.585, 0.181], [0.307, 0.319, 0.915], [0.307, 0.489, 0.392], [0.319, 0.903, 0.011], [0.319, 0.915, 0.307], [0.392, 0.307, 0.489], [0.392, 0.585, 0.903], [0.403, 0.085, 0.892], [0.403, 0.819, 0.511], [0.415, 0.097, 0.608], [0.415, 0.819, 0.807], [0.489, 0.392, 0.307], [0.489, 0.597, 0.181], [0.511, 0.403, 0.819], [0.511, 0.608, 0.693], [0.585, 0.181, 0.193], [0.585, 0.903, 0.392], [0.597, 0.181, 0.489], [0.597, 0.915, 0.108], [0.608, 0.415, 0.097], [0.608, 0.693, 0.511], [0.681, 0.085, 0.693], [0.681, 0.097, 0.989], [0.693, 0.511, 0.608], [0.693, 0.681, 0.085], [0.807, 0.415, 0.819], [0.807, 0.892, 0.989], [0.819, 0.511, 0.403], [0.819, 0.807, 0.415], [0.892, 0.403, 0.085], [0.892, 0.989, 0.807], [0.903, 0.011, 0.319], [0.903, 0.392, 0.585], [0.915, 0.108, 0.597], [0.915, 0.307, 0.319], [0.989, 0.681, 0.097], [0.989, 0.807, 0.892], [0.125, 0.250, 0.375], [0.125, 0.375, 0.750], [0.250, 0.375, 0.125], [0.250, 0.875, 0.625], [0.375, 0.125, 0.250], [0.375, 0.750, 0.125], [0.625, 0.250, 0.875], [0.625, 0.875, 0.750], [0.750, 0.125, 0.375], [0.750, 0.625, 0.875], [0.875, 0.625, 0.250], [0.875, 0.750, 0.625], [0.000, 0.000, 0.000], [0.000, 0.000, 0.500], [0.000, 0.500, 0.000], [0.000, 0.500, 0.500], [0.125, 0.750, 0.875], [0.125, 0.875, 0.250], [0.250, 0.125, 0.875], [0.250, 0.625, 0.375], [0.375, 0.250, 0.625], [0.375, 0.625, 0.750], [0.500, 0.000, 0.000], [0.500, 0.000, 0.500], [0.500, 0.500, 0.000], [0.500, 0.500, 0.500], [0.625, 0.375, 0.250], [0.625, 0.750, 0.375], [0.750, 0.375, 0.625], [0.750, 0.875, 0.125], [0.875, 0.125, 0.750], [0.875, 0.250, 0.125]]}



17.
{"formula": "CsCaCl2", "functional": "GGA-PBE", "state": "relaxed", "polymorph_energy_kj_per_mol_atoms": 5.0, "raw_formation_energy_ev_per_atom": -1.6349, "lattice": [[7.274, 0.000, 0.000], [0.000, 7.274, 0.000], [0.000, 0.000, 14.487]], "species": ["Cs", "Cs", "Cs", "Cs", "Ca", "Ca", "Ca", "Ca", "Cl", "Cl", "Cl", "Cl", "Cl", "Cl", "Cl", "Cl"], "fractional_positions": [[0.000, 0.000, 0.000], [0.000, 0.500, 0.250], [0.500, 0.000, 0.750], [0.500, 0.500, 0.500], [0.000, 0.000, 0.500], [0.000, 0.500, 0.750], [0.500, 0.000, 0.250], [0.500, 0.500, 0.000], [0.124, 0.250, 0.625], [0.250, 0.624, 0.875], [0.250, 0.876, 0.375], [0.376, 0.250, 0.125], [0.624, 0.750, 0.125], [0.750, 0.124, 0.375], [0.750, 0.376, 0.875], [0.876, 0.750, 0.625]]}



18.
{"formula": "Cs3Ca2Cl6", "functional": "GGA-PBE", "state": "relaxed", "raw_formation_energy_ev_per_atom": -2.0419, "lattice": [[-2.741, 2.741, 13.601], [2.741, -2.741, 13.601], [2.741, 2.741, -13.601]], "species": ["Cs", "Cs", "Cs", "Ca", "Ca", "Cl", "Cl", "Cl", "Cl", "Cl", "Cl"], "fractional_positions": [[0.000, 0.000, 0.000], [0.182, 0.182, 0.000], [0.818, 0.818, 0.000], [0.410, 0.410, 0.000], [0.590, 0.590, 0.000], [0.090, 0.590, 0.500], [0.309, 0.309, 0.000], [0.410, 0.910, 0.500], [0.590, 0.090, 0.500], [0.691, 0.691, 0.000], [0.910, 0.410, 0.500]]}